No. 1
PBE BeCuAg2, optimized geometry; volume = 55.6 Å³ per cell; energy relative to the elements = 55 kJ/mol of formula units; E_tot = -3.240 eV/atom
1.0
-0.338 -2.222 -1.810
0.824 -1.821 2.082
-6.346 -0.633 1.960
Be Cu Ag
1 1 2
Direct
0.500 0.500 0.250
0.500 0.500 0.750
0.000 0.000 0.025
0.000 0.000 0.475

---

No. 2
PBE VZnS2Cl, optimized geometry; uncorrected formation energy = -21.5 kJ per mole of atoms; volume = 100.4 Å³ per cell; energy above the lowest structure with this stoichiometry = 0 meV per atom; E_tot = -4.322 eV/atom
1.0
4.567 0.000 0.000
0.000 4.567 0.000
0.000 0.000 4.814
Zn Cl S V
1 1 2 1
Direct
0.500 0.500 0.500
0.000 0.000 0.500
0.000 0.500 0.000
0.500 0.000 0.000
0.000 0.000 0.000

---

No. 3
PBE GaSN2, optimized geometry; uncorrected formation energy = 54.8 kJ per mole of atoms; volume = 46.4 Å³ per cell; energy above the lowest structure with this stoichiometry = 0 meV per atom; E_tot = -5.383 eV/atom
1.0
1.791 0.000 5.568
-0.896 1.551 5.568
-0.896 -1.551 5.568
S Ga N
1 1 2
Direct
0.000 0.000 0.000
0.500 0.500 0.500
0.898 0.898 0.898
0.102 0.102 0.102

---

No. 4
PBE TlHg3Pb2, optimized geometry; volume = 341.6 Å³ per cell; energy relative to the elements = 19 kJ/mol of formula units; energy above the lowest structure with this stoichiometry = 2 meV per atom; E_tot = -1.749 eV/atom
1.0
6.341 0.014 0.866
-0.746 6.297 0.866
-0.072 -0.081 8.530
Tl Hg Pb
2 6 4
Direct
0.921 0.079 0.250
0.079 0.921 0.750
0.828 0.655 0.502
0.345 0.172 0.998
0.172 0.345 0.498
0.655 0.828 0.002
0.583 0.417 0.250
0.417 0.583 0.750
0.130 0.621 0.124
0.379 0.870 0.376
0.870 0.379 0.876
0.621 0.130 0.624

---

No. 5
PBE TiCoSb, optimized geometry; uncorrected formation energy = -23.0 kJ per mole of atoms; volume = 212.1 Å³ per cell; E_tot = -6.613 eV/atom
1.0
-12.331 10.578 0.229
-3.235 4.365 -3.895
2.493 -5.068 -3.576
Sb Co Ti
4 4 4
Direct
0.170 0.044 0.934
0.830 0.934 0.044
0.688 0.606 0.724
0.312 0.724 0.606
0.721 0.770 0.510
0.279 0.510 0.770
0.345 0.450 0.249
0.655 0.249 0.450
0.709 0.865 0.178
0.291 0.178 0.865
0.146 0.516 0.153
0.854 0.153 0.516

---

No. 6
PBE In2SiN, optimized geometry; uncorrected formation energy = 20.1 kJ per mole of atoms; volume = 166.9 Å³ per cell; energy above the lowest structure with this stoichiometry = 342 meV per atom; E_tot = -4.598 eV/atom
1.0
-2.693 1.872 4.210
-1.308 -2.754 0.388
7.797 -2.875 5.875
In Si N
4 2 2
Direct
0.536 0.000 0.378
0.413 0.500 0.107
0.527 0.000 0.769
0.962 0.000 0.965
0.043 0.500 0.410
0.023 0.000 0.678
0.037 0.500 0.585
0.646 0.500 0.930

---

No. 7
PBE Ca2Cu2Sb, optimized geometry; uncorrected formation energy = -27.4 kJ per mole of atoms; volume = 116.4 Å³ per cell; energy above the lowest structure with this stoichiometry = 115 meV per atom; E_tot = -3.548 eV/atom
1.0
-0.399 -0.843 3.448
-1.366 -3.167 -0.932
7.482 -5.635 1.339
Sb Ca Cu
1 2 2
Direct
0.000 0.000 0.000
0.385 0.385 0.231
0.615 0.615 0.769
0.750 0.250 0.500
0.250 0.750 0.500

---

No. 8
PBE SrSnH6Pt2, optimized geometry; volume = 273.1 Å³ per cell; E_tot = -4.040 eV/atom
1.0
-1.653 4.846 -4.769
-6.716 -0.386 1.926
3.566 2.566 4.701
Sr Sn H Pt
2 2 12 4
Direct
0.158 0.842 0.250
0.842 0.158 0.750
0.534 0.466 0.250
0.466 0.534 0.750
0.941 0.306 0.225
0.694 0.059 0.275
0.059 0.694 0.775
0.306 0.941 0.725
0.171 0.124 0.070
0.876 0.829 0.430
0.829 0.876 0.930
0.124 0.171 0.570
0.174 0.585 0.460
0.415 0.826 0.040
0.826 0.415 0.540
0.585 0.174 0.960
0.354 0.186 0.772
0.814 0.646 0.728
0.646 0.814 0.228
0.186 0.354 0.272

---

No. 9
PBE Ca3CdCl, optimized geometry; uncorrected formation energy = -56.4 kJ per mole of atoms; volume = 157.3 Å³ per cell; energy above the lowest structure with this stoichiometry = 0 meV per atom; E_tot = -2.337 eV/atom
1.0
5.398 0.000 0.000
0.000 5.398 0.000
0.000 0.000 5.398
Ca Cl Cd
3 1 1
Direct
0.000 0.500 0.000
0.000 0.000 0.500
0.500 0.000 0.000
0.000 0.000 0.000
0.500 0.500 0.500

---

No. 10
PBE Mg4BeZn, optimized geometry; volume = 124.6 Å³ per cell; energy relative to the elements = 278 kJ/mol of formula units; E_tot = -1.417 eV/atom
1.0
-5.345 -1.209 1.181
-3.937 0.548 -3.953
-2.400 -4.556 -2.217
Mg Be Zn
4 1 1
Direct
0.876 0.375 0.375
0.375 0.375 0.876
0.375 0.876 0.375
0.375 0.375 0.375
0.000 0.000 0.000
0.750 0.750 0.750

---

No. 11
PBE ZnTcRh, optimized geometry; volume = 42.4 Å³ per cell; energy relative to the elements = -17 kJ/mol of formula units; energy above the lowest structure with this stoichiometry = 108 meV per atom; E_tot = -6.389 eV/atom
1.0
-2.312 -3.827 1.368
2.181 -4.136 -0.005
0.010 4.379 1.638
Rh Tc Zn
1 1 1
Direct
0.998 0.998 0.000
0.336 0.336 0.000
0.666 0.666 0.000

---

No. 12
PBE Ga6Os, optimized geometry; volume = 234.3 Å³ per cell; energy relative to the elements = -31 kJ/mol of formula units; E_tot = -4.245 eV/atom
1.0
-1.200 3.926 -2.862
0.735 -3.181 -3.792
-9.058 -2.512 0.353
Ga Os
12 2
Direct
0.317 0.683 0.000
0.683 0.317 0.500
0.683 0.317 0.000
0.317 0.683 0.500
0.137 0.137 0.898
0.863 0.863 0.398
0.137 0.137 0.602
0.863 0.863 0.102
0.618 0.977 0.750
0.382 0.023 0.250
0.977 0.618 0.750
0.023 0.382 0.250
0.466 0.466 0.750
0.534 0.534 0.250